No. 1
# DySc2Al6 PBE-GGA optimized geometry
# ΔE_f   -273 meV per atom
# Relative energy among the computed polymorphs   1.72 eV/f.u.
# Fermi-level density of states   5.143 states/eV/f.u.
# Calculated density   3.6 Mg/m³
data_DySc2Al6
_cell_length_a 4.251
_cell_length_b 6.925
_cell_length_c 13.094
_cell_angle_alpha 90.00
_cell_angle_beta 90.00
_cell_angle_gamma 90.00
_symmetry_space_group_name_H-M 'I m m m'
_symmetry_Int_Tables_number 71
_symmetry_space_group_name_Hall '-I 2 2'
loop_
_atom_site_label
_atom_site_type_symbol
_atom_site_fract_x
_atom_site_fract_y
_atom_site_fract_z
_atom_site_occupancy
Dy1 Dy 0.000 0.000 0.000 1
Sc1 Sc 0.000 0.500 0.120 1
Al1 Al 0.000 0.185 0.500 1
Al2 Al 0.000 0.302 0.311 1

***

No. 2
# DySc2Al PBE-GGA optimized geometry
# ΔE_f   -208 meV per atom
# Relative energy among the computed polymorphs   0.05 eV/f.u.
# Fermi-level density of states   3.949 states/eV/f.u.
# Calculated density   4.9 Mg/m³
data_DySc2Al
_cell_length_a 3.332
_cell_length_b 3.332
_cell_length_c 8.520
_cell_angle_alpha 90.00
_cell_angle_beta 90.00
_cell_angle_gamma 90.00
_symmetry_space_group_name_H-M 'P 4/m m m'
_symmetry_Int_Tables_number 123
_symmetry_space_group_name_Hall '-P 4 2'
loop_
_atom_site_label
_atom_site_type_symbol
_atom_site_fract_x
_atom_site_fract_y
_atom_site_fract_z
_atom_site_occupancy
Dy1 Dy 0.000 0.000 0.000 1
Sc1 Sc 0.500 0.500 0.289 1
Al1 Al 0.000 0.000 0.500 1

***

No. 3
# DySc2Al6 PBE-GGA optimized geometry
# ΔE_f   -464 meV per atom
# Relative energy among the computed polymorphs   0.00 eV/f.u.
# Fermi-level density of states   2.102 states/eV/f.u.
# Calculated density   4.0 Mg/m³
data_DySc2Al6
_cell_length_a 7.7982
_cell_length_b 7.7982
_cell_length_c 3.2942
_cell_angle_alpha 90.00
_cell_angle_beta 90.00
_cell_angle_gamma 120.00
_symmetry_space_group_name_H-M 'P 6/m m m'
_symmetry_Int_Tables_number 191
_symmetry_space_group_name_Hall '-P 6 2'
loop_
_atom_site_label
_atom_site_type_symbol
_atom_site_fract_x
_atom_site_fract_y
_atom_site_fract_z
_atom_site_occupancy
Dy1 Dy 0.0000 0.0000 0.0000 1
Sc1 Sc 0.3333 0.6667 0.0000 1
Al1 Al 0.0000 0.3363 0.5000 1

***

No. 4
# Dy5ScAl4 PBE-GGA optimized geometry
# ΔE_f   -309 meV per atom
# Fermi-level density of states   6.423 states/eV/f.u.
# Calculated density   6.6 Mg/m³
data_Dy5ScAl4
_cell_length_a 3.584
_cell_length_b 3.584
_cell_length_c 18.954
_cell_angle_alpha 90.00
_cell_angle_beta 90.00
_cell_angle_gamma 90.00
_symmetry_space_group_name_H-M 'P 4/m m m'
_symmetry_Int_Tables_number 123
_symmetry_space_group_name_Hall '-P 4 2'
loop_
_atom_site_label
_atom_site_type_symbol
_atom_site_fract_x
_atom_site_fract_y
_atom_site_fract_z
_atom_site_occupancy
Dy1 Dy 0.000 0.000 0.000 1
Dy2 Dy 0.000 0.000 0.192 1
Dy3 Dy 0.000 0.000 0.384 1
Sc1 Sc 0.500 0.500 0.500 1
Al1 Al 0.500 0.500 0.096 1
Al2 Al 0.500 0.500 0.289 1

***

No. 5
# DySc8Al2 PBE-GGA optimized geometry
# ΔE_f   3 meV per atom
# Fermi-level density of states   16.664 states/eV/f.u.
# Calculated density   3.6 Mg/m³
data_DySc8Al2
_cell_length_a 8.175
_cell_length_b 13.934
_cell_length_c 5.222
_cell_angle_alpha 90.00
_cell_angle_beta 117.81
_cell_angle_gamma 90.00
_symmetry_space_group_name_H-M 'C 1 2/m 1'
_symmetry_Int_Tables_number 12
loop_
_symmetry_equiv_pos_as_xyz
'x,y,z'
'-x,-y,-z'
'-x,y,-z'
'x,-y,z'
'x+1/2,y+1/2,z'
'-x+1/2,-y+1/2,-z'
'-x+1/2,y+1/2,-z'
'x+1/2,-y+1/2,z'
loop_
_atom_site_label
_atom_site_type_symbol
_atom_site_fract_x
_atom_site_fract_y
_atom_site_fract_z
_atom_site_occupancy
Dy1 Dy 0.000 0.000 0.000 1
Sc1 Sc 0.000 0.218 0.000 1
Sc2 Sc 0.080 0.500 0.791 1
Sc3 Sc 0.212 0.120 0.639 1
Al1 Al 0.000 0.309 0.500 1

***

No. 6
# DySc2Al PBE-GGA optimized geometry
# ΔE_f   -69 meV per atom
# Relative energy among the computed polymorphs   0.61 eV/f.u.
# Fermi-level density of states   6.787 states/eV/f.u.
# Calculated density   5.0 Mg/m³
data_DySc2Al
_cell_length_a 7.197
_cell_length_b 7.197
_cell_length_c 7.197
_cell_angle_alpha 90.00
_cell_angle_beta 90.00
_cell_angle_gamma 90.00
_symmetry_space_group_name_H-M 'F m -3 m'
_symmetry_Int_Tables_number 225
_symmetry_space_group_name_Hall '-F 4 2 3'
loop_
_atom_site_label
_atom_site_type_symbol
_atom_site_fract_x
_atom_site_fract_y
_atom_site_fract_z
_atom_site_occupancy
Dy1 Dy 0.000 0.000 0.000 1
Sc1 Sc 0.250 0.250 0.250 1
Al1 Al 0.000 0.000 0.500 1

***

No. 7
# DySc2Al9 PBE-GGA optimized geometry
# ΔE_f   -438 meV per atom
# Relative energy among the computed polymorphs   0.00 eV/f.u.
# Fermi-level density of states   4.757 states/eV/f.u.
# Calculated density   3.8 Mg/m³
data_DySc2Al9
_cell_length_a 4.157
_cell_length_b 4.157
_cell_length_c 12.448
_cell_angle_alpha 90.00
_cell_angle_beta 90.00
_cell_angle_gamma 90.00
_symmetry_space_group_name_H-M 'P 4/m m m'
_symmetry_Int_Tables_number 123
_symmetry_space_group_name_Hall '-P 4 2'
loop_
_atom_site_label
_atom_site_type_symbol
_atom_site_fract_x
_atom_site_fract_y
_atom_site_fract_z
_atom_site_occupancy
Dy1 Dy 0.000 0.000 0.000 1
Sc1 Sc 0.000 0.000 0.337 1
Al1 Al 0.000 0.500 0.174 1
Al2 Al 0.000 0.500 0.500 1
Al3 Al 0.500 0.500 0.000 1
Al4 Al 0.500 0.500 0.336 1

***

No. 8
# Dy4Sc2Al PBE-GGA optimized geometry
# ΔE_f   -23 meV per atom
# Fermi-level density of states   9.950 states/eV/f.u.
# Calculated density   6.5 Mg/m³
data_Dy4Sc2Al
_cell_length_a 3.5023
_cell_length_b 3.5023
_cell_length_c 55.1422
_cell_angle_alpha 90.00
_cell_angle_beta 90.00
_cell_angle_gamma 120.00
_symmetry_space_group_name_H-M 'R -3 m'
_symmetry_Int_Tables_number 166
_symmetry_space_group_name_Hall '-R 3 2"'
loop_
_atom_site_label
_atom_site_type_symbol
_atom_site_fract_x
_atom_site_fract_y
_atom_site_fract_z
_atom_site_occupancy
Dy1 Dy 0.0000 0.0000 0.0956 1
Dy2 Dy 0.0000 0.0000 0.2916 1
Sc1 Sc 0.0000 0.0000 0.1892 1
Al1 Al 0.0000 0.0000 0.0000 1

***

- Among the records above, which one has the lowest ΔE_f?
  number 3

***

- Which value of Fermi-level density of states does entry 7 give?
  4.757 states/eV/f.u.

***

- The lowest ΔE_f belongs to which entry?
  number 3

***

- Which of these has the lowest Fermi-level density of states?
  number 3